[1]
A geometry-optimized NaTlSn structure. Source: Alexandria via LeMat-Bulk, functional PBE.

Cell and atoms, written as CIF:
```
data_NaTlSn
_chemical_formula_sum 'Na4 Tl4 Sn4'
_space_group_name_H-M_alt 'C m c m'
_space_group_IT_number 63
_space_group_name_Hall '-C 2c 2'
_cell_length_a 5.2356
_cell_length_b 13.6229
_cell_length_c 4.8231
_cell_angle_alpha 90.00
_cell_angle_beta 90.00
_cell_angle_gamma 90.00
loop_
_atom_site_label
_atom_site_type_symbol
_atom_site_fract_x
_atom_site_fract_y
_atom_site_fract_z
Na1 Na 0.0000 0.2492 0.2500
Tl1 Tl 0.0000 0.4139 0.7500
Sn1 Sn 0.0000 0.0704 0.7500
```

Summary:
Volume, Å³/cell: 344
Calculated formation energy, eV/f.u.: -0.331
Magnetization, μB/f.u.: 0.000
E_tot, eV/atom: -2.67

[2]
A geometry-optimized PmSm8Sc4 structure. Source: Alexandria via LeMat-Bulk, functional PBE.

Cell and atoms, written as CIF:
```
data_PmSm8Sc4
_chemical_formula_sum 'Pm3 Sm24 Sc12'
_space_group_name_H-M_alt 'R -3 m'
_space_group_IT_number 166
_space_group_name_Hall '-R 3 2"'
_cell_length_a 7.1193
_cell_length_b 7.1193
_cell_length_c 27.6874
_cell_angle_alpha 90.00
_cell_angle_beta 90.00
_cell_angle_gamma 120.00
loop_
_atom_site_label
_atom_site_type_symbol
_atom_site_fract_x
_atom_site_fract_y
_atom_site_fract_z
Pm1 Pm 0.0000 0.0000 0.0000
Sm1 Sm 0.0000 0.0000 0.2845
Sm2 Sm 0.0291 0.5146 0.2615
Sc1 Sc 0.0000 0.0000 0.5000
Sc2 Sc 0.0000 0.5000 0.5000
```

Summary:
Volume, Å³/cell: 1215
Calculated formation energy, eV/f.u.: 3.045
Magnetization, μB/f.u.: 0.000
E_tot, eV/atom: -4.98

[3]
A geometry-optimized Dy2Tm5Tc2Ag structure. Source: Alexandria via LeMat-Bulk, functional PBE.

Cell and atoms, written as CIF:
```
data_Dy2Tm5Tc2Ag
_chemical_formula_sum 'Dy4 Tm10 Tc4 Ag2'
_space_group_name_H-M_alt 'P 4/m b m'
_space_group_IT_number 127
_space_group_name_Hall '-P 4 2ab'
_cell_length_a 11.3748
_cell_length_b 11.3748
_cell_length_c 3.9306
_cell_angle_alpha 90.00
_cell_angle_beta 90.00
_cell_angle_gamma 90.00
loop_
_atom_site_label
_atom_site_type_symbol
_atom_site_fract_x
_atom_site_fract_y
_atom_site_fract_z
Dy1 Dy 0.1751 0.3249 0.0000
Tm1 Tm 0.0000 0.5000 0.5000
Tm2 Tm 0.0702 0.7911 0.5000
Tc1 Tc 0.1267 0.6267 0.0000
Ag1 Ag 0.0000 0.0000 0.0000
```

Summary:
Volume, Å³/cell: 509
Calculated formation energy, eV/f.u.: -1.277
Magnetization, μB/f.u.: 0.000
E_tot, eV/atom: -5.64

[4]
A geometry-optimized Nd4SnPt2 structure. Source: Alexandria via LeMat-Bulk, functional PBE.

Cell and atoms, written as CIF:
```
data_Nd4SnPt2
_chemical_formula_sum 'Nd32 Sn8 Pt16'
_space_group_name_H-M_alt 'F d d d'
_space_group_IT_number 70
_cell_length_a 9.3892
_cell_length_b 13.4441
_cell_length_c 13.8950
_cell_angle_alpha 90.00
_cell_angle_beta 90.00
_cell_angle_gamma 90.00
loop_
_space_group_symop_operation_xyz
'x,y,z'
'-x,-y,-z'
'-x+1/4,-y+1/4,z'
'x+1/4,y+1/4,-z'
'x,-y+1/4,-z+1/4'
'-x,y+1/4,z+1/4'
'-x+1/4,y,-z+1/4'
'x+1/4,-y,z+1/4'
'x,y+1/2,z+1/2'
'-x,-y+1/2,-z+1/2'
'-x+1/4,-y+3/4,z+1/2'
'x+1/4,y+3/4,-z+1/2'
'x,-y+3/4,-z+3/4'
'-x,y+3/4,z+3/4'
'-x+1/4,y+1/2,-z+3/4'
'x+1/4,-y+1/2,z+3/4'
'x+1/2,y,z+1/2'
'-x+1/2,-y,-z+1/2'
'-x+3/4,-y+1/4,z+1/2'
'x+3/4,y+1/4,-z+1/2'
'x+1/2,-y+1/4,-z+3/4'
'-x+1/2,y+1/4,z+3/4'
'-x+3/4,y,-z+3/4'
'x+3/4,-y,z+3/4'
'x+1/2,y+1/2,z'
'-x+1/2,-y+1/2,-z'
'-x+3/4,-y+3/4,z'
'x+3/4,y+3/4,-z'
'x+1/2,-y+3/4,-z+1/4'
'-x+1/2,y+3/4,z+1/4'
'-x+3/4,y+1/2,-z+1/4'
'x+3/4,-y+1/2,z+1/4'
loop_
_atom_site_label
_atom_site_type_symbol
_atom_site_fract_x
_atom_site_fract_y
_atom_site_fract_z
Nd1 Nd 0.0430 0.2788 0.4615
Sn1 Sn 0.1250 0.1250 0.6250
Pt1 Pt 0.0000 0.0000 0.0000
```

Summary:
Volume, Å³/cell: 1754
Calculated formation energy, eV/f.u.: -5.248
Magnetization, μB/f.u.: 0.000
E_tot, eV/atom: -5.77